# NaZrScO4 PBE-GGA optimized geometry
data_NaZrScO4
_chemical_formula_sum 'Na4 Zr4 Sc4 O16'
_symmetry_space_group_name_H-M 'P m c 21'
_symmetry_Int_Tables_number 26
_symmetry_space_group_name_Hall 'P 2c -2'
_cell_length_a 3.220
_cell_length_b 11.360
_cell_length_c 9.658
_cell_angle_alpha 90.00
_cell_angle_beta 90.00
_cell_angle_gamma 90.00
loop_
_atom_site_label
_atom_site_type_symbol
_atom_site_fract_x
_atom_site_fract_y
_atom_site_fract_z
Na1 Na 0.000 0.104 0.000
Na2 Na 0.500 0.391 0.510
Zr1 Zr 0.000 0.138 0.324
Zr2 Zr 0.000 0.356 0.835
Sc1 Sc 0.500 0.142 0.678
Sc2 Sc 0.500 0.362 0.185
O1 O 0.000 0.032 0.736
O2 O 0.000 0.265 0.643
O3 O 0.000 0.323 0.327
O4 O 0.000 0.403 0.047
O5 O 0.500 0.096 0.462
O6 O 0.500 0.175 0.182
O7 O 0.500 0.234 0.873
O8 O 0.500 0.466 0.774
# * crystal system: orthorhombic
# * spin magnetization: 0.00 μB per formula unit
# * uncorrected energy: -8.20 eV/atom

=====

# NaZrSc4O8 PBE-GGA optimized geometry
data_NaZrSc4O8
_chemical_formula_sum 'Na3 Zr3 Sc12 O24'
_symmetry_space_group_name_H-M 'R 3 m'
_symmetry_Int_Tables_number 160
_symmetry_space_group_name_Hall 'R 3 -2"'
_cell_length_a 6.3527
_cell_length_b 6.3527
_cell_length_c 15.5379
_cell_angle_alpha 90.00
_cell_angle_beta 90.00
_cell_angle_gamma 120.00
loop_
_atom_site_label
_atom_site_type_symbol
_atom_site_fract_x
_atom_site_fract_y
_atom_site_fract_z
Na1 Na 0.0000 0.0000 0.0000
Zr1 Zr 0.0000 0.0000 0.3802
Sc1 Sc 0.0000 0.0000 0.6212
Sc2 Sc 0.0047 0.5024 0.5017
O1 O 0.0000 0.0000 0.2458
O2 O 0.0000 0.0000 0.7565
O3 O 0.0093 0.5047 0.7585
O4 O 0.1699 0.3398 0.5740
# * crystal system: trigonal
# * spin magnetization: 0.00 μB per formula unit
# * uncorrected energy: -8.47 eV/atom

=====

# Na2SeO PBE-GGA optimized geometry
data_Na2SeO
_chemical_formula_sum 'Na8 Se4 O4'
_symmetry_space_group_name_H-M 'F m -3 m'
_symmetry_Int_Tables_number 225
_symmetry_space_group_name_Hall '-F 4 2 3'
_cell_length_a 6.684
_cell_length_b 6.684
_cell_length_c 6.684
_cell_angle_alpha 90.00
_cell_angle_beta 90.00
_cell_angle_gamma 90.00
loop_
_atom_site_label
_atom_site_type_symbol
_atom_site_fract_x
_atom_site_fract_y
_atom_site_fract_z
Na1 Na 0.250 0.250 0.250
Se1 Se 0.000 0.000 0.000
O1 O 0.000 0.000 0.500
# * crystal system: cubic
# * spin magnetization: 2.00 μB per formula unit
# * energy above the most stable polymorph in this dataset: 0.327 eV/atom

=====

# NaSe2O PBE-GGA optimized geometry
data_NaSe2O
_chemical_formula_sum 'Na3 Se6 O3'
_symmetry_space_group_name_H-M 'R -3 m'
_symmetry_Int_Tables_number 166
_symmetry_space_group_name_Hall '-R 3 2"'
_cell_length_a 3.1379
_cell_length_b 3.1379
_cell_length_c 26.4510
_cell_angle_alpha 90.00
_cell_angle_beta 90.00
_cell_angle_gamma 120.00
loop_
_atom_site_label
_atom_site_type_symbol
_atom_site_fract_x
_atom_site_fract_y
_atom_site_fract_z
Na1 Na 0.0000 0.0000 0.0000
Se1 Se 0.0000 0.0000 0.1052
O1 O 0.0000 0.0000 0.5000
# * crystal system: trigonal
# * spin magnetization: 0.00 μB per formula unit
# * uncorrected energy: -2.89 eV/atom

=====

# NaSeO4 PBE-GGA optimized geometry
data_NaSeO4
_chemical_formula_sum 'Na2 Se2 O8'
_symmetry_space_group_name_H-M 'P 1 21/m 1'
_symmetry_Int_Tables_number 11
_symmetry_space_group_name_Hall '-P 2yb'
_cell_length_a 4.967
_cell_length_b 7.505
_cell_length_c 5.017
_cell_angle_alpha 90.00
_cell_angle_beta 94.63
_cell_angle_gamma 90.00
loop_
_atom_site_label
_atom_site_type_symbol
_atom_site_fract_x
_atom_site_fract_y
_atom_site_fract_z
Na1 Na 0.142 0.250 0.146
Se1 Se 0.354 0.750 0.350
O1 O 0.208 0.570 0.205
O2 O 0.313 0.750 0.678
O3 O 0.315 0.250 0.694
# * crystal system: monoclinic
# * spin magnetization: 1.01 μB per formula unit
# * uncorrected energy: -4.86 eV/atom

=====

# NaSeO3 PBE-GGA optimized geometry
data_NaSeO3
_chemical_formula_sum 'Na1 Se1 O3'
_symmetry_space_group_name_H-M 'P m -3 m'
_symmetry_Int_Tables_number 221
_symmetry_space_group_name_Hall '-P 4 2 3'
_cell_length_a 3.964
_cell_length_b 3.964
_cell_length_c 3.964
_cell_angle_alpha 90.00
_cell_angle_beta 90.00
_cell_angle_gamma 90.00
loop_
_atom_site_label
_atom_site_type_symbol
_atom_site_fract_x
_atom_site_fract_y
_atom_site_fract_z
Na1 Na 0.000 0.000 0.000
Se1 Se 0.500 0.500 0.500
O1 O 0.000 0.000 0.500
# * crystal system: cubic
# * spin magnetization: 2.27 μB per formula unit
# * uncorrected energy: -2.98 eV/atom